VASP calculation (PBE-GGA) on GaC2F after structural relaxation.

abc: 4.467 4.467 6.033
angles: 68.27 68.27 90.00
Sites, in units of the cell vectors:
1 C 0.875 0.890 0.750
2 C 0.110 0.625 0.250
3 C 0.375 0.360 0.750
4 Ga 0.750 0.250 0.500
5 F 0.250 0.750 0.500
6 F 0.500 0.500 0.000
7 C 0.640 0.125 0.250
8 Ga 0.000 0.000 0.000

As for the electronic total energy: -0.1491 Ha/atom. The value obtained for the density of states at the Fermi level is 1.16 states/eV per cell. Its crystal system is tetragonal. As for the space-group type: I-42d (122). The calculation puts the uncorrected formation energy at 1.779 eV per atom.

VASP calculation (PBE-GGA) on BaBi2Pb after structural relaxation.

abc: 4.559 4.559 9.296
angles: 75.80 75.80 60.00
Sites, in units of the cell vectors:
1 Pb 0.000 0.000 0.000
2 Bi 0.740 0.740 0.780
3 Bi 0.260 0.260 0.220
4 Ba 0.500 0.500 0.500

The formation energy comes out at -77 kJ/mol of formula units. As for the electronic total energy: -0.1303 Ha/atom. The value obtained for the density of states at the Fermi level is 5.29 states/eV per cell. Its crystal system is trigonal. As for the space-group type: R-3m (166).